# Cs3As4H4 PBE relaxed
# Spin magnetization: 0.00 Bohr magnetons per cell
# Final energy: -3.336 eV/atom
data_Cs3As4H4
_space_group_name_H-M_alt 'P -1'
_space_group_IT_number 2
_cell_length_a 4.728
_cell_length_b 6.046
_cell_length_c 11.895
_cell_angle_alpha 78.32
_cell_angle_beta 79.32
_cell_angle_gamma 89.92
loop_
_space_group_symop_operation_xyz
'x,y,z'
'-x,-y,-z'
loop_
_atom_site_label
_atom_site_type_symbol
_atom_site_fract_x
_atom_site_fract_y
_atom_site_fract_z
Cs1 Cs 0.000 0.000 0.000
Cs2 Cs 0.159 0.639 0.651
As1 As 0.385 0.869 0.306
As2 As 0.458 0.467 0.097
H1 H 0.071 0.889 0.285
H2 H 0.312 0.015 0.401